Record 1
DFT (PBE-GGA) results for crystalline Tb2AlCr at its relaxed geometry.

CIF file:
```
data_Tb2AlCr
_space_group_name_H-M_alt 'F m -3 m'
_space_group_IT_number 225
_space_group_name_Hall '-F 4 2 3'
_cell_length_a 7.245
_cell_length_b 7.245
_cell_length_c 7.245
_cell_angle_alpha 90.00
_cell_angle_beta 90.00
_cell_angle_gamma 90.00
loop_
_atom_site_label
_atom_site_fract_x
_atom_site_fract_y
_atom_site_fract_z
Tb1 0.250 0.250 0.250
Al1 0.000 0.000 0.000
Cr1 0.000 0.000 0.500
```

DOS at the Fermi energy (states/eV/atom): 0.741
M_tot (μB per cell): 15.54
Energy (eV/cell): -90.73

Record 2
DFT (PBE-GGA) results for crystalline Tb6Al43Cr4 at its relaxed geometry.

CIF file:
```
data_Tb6Al43Cr4
_space_group_name_H-M_alt 'P 63/m c m'
_space_group_IT_number 193
_space_group_name_Hall '-P 6c 2'
_cell_length_a 10.9195
_cell_length_b 10.9195
_cell_length_c 17.6084
_cell_angle_alpha 90.00
_cell_angle_beta 90.00
_cell_angle_gamma 120.00
loop_
_atom_site_label
_atom_site_fract_x
_atom_site_fract_y
_atom_site_fract_z
Tb1 0.0000 0.4704 0.0952
Al1 0.0000 0.1453 0.7500
Al2 0.0000 0.1554 0.1158
Al3 0.0000 0.2496 0.5303
Al4 0.1441 0.5465 0.2500
Al5 0.1584 0.3908 0.6658
Al6 0.2463 0.4927 0.0000
Al7 0.3333 0.6667 0.1270
Cr1 0.0000 0.0000 0.0000
Cr2 0.0000 0.2669 0.2500
```

DOS at the Fermi energy (states/eV/atom): 0.427
M_tot (μB per cell): 2.15
Energy (eV/cell): -483.67

Record 3
DFT (PBE-GGA) results for crystalline TbAl11Cr at its relaxed geometry.

CIF file:
```
data_TbAl11Cr
_space_group_name_H-M_alt 'C 1 2/m 1'
_space_group_IT_number 12
_cell_length_a 5.213
_cell_length_b 12.718
_cell_length_c 7.087
_cell_angle_alpha 90.00
_cell_angle_beta 110.80
_cell_angle_gamma 90.00
loop_
_space_group_symop_operation_xyz
'x,y,z'
'-x,-y,-z'
'-x,y,-z'
'x,-y,z'
'x+1/2,y+1/2,z'
'-x+1/2,-y+1/2,-z'
'-x+1/2,y+1/2,-z'
'x+1/2,-y+1/2,z'
loop_
_atom_site_label
_atom_site_fract_x
_atom_site_fract_y
_atom_site_fract_z
Tb1 0.000 0.000 0.000
Al1 0.000 0.000 0.500
Al2 0.106 0.393 0.224
Al3 0.199 0.172 0.362
Al4 0.250 0.250 0.000
Cr1 0.000 0.500 0.500
```

DOS at the Fermi energy (states/eV/atom): 0.433
M_tot (μB per cell): 0.09
Energy (eV/cell): -114.92

Record 4
DFT (PBE-GGA) results for crystalline AlCrTc2 at its relaxed geometry.

CIF file:
```
data_AlCrTc2
_space_group_name_H-M_alt 'F -4 3 m'
_space_group_IT_number 216
_space_group_name_Hall 'F -4 2 3'
_cell_length_a 6.066
_cell_length_b 6.066
_cell_length_c 6.066
_cell_angle_alpha 90.00
_cell_angle_beta 90.00
_cell_angle_gamma 90.00
loop_
_atom_site_label
_atom_site_fract_x
_atom_site_fract_y
_atom_site_fract_z
Al1 0.000 0.000 0.000
Cr1 0.250 0.250 0.250
Tc1 0.000 0.000 0.500
Tc2 0.250 0.250 0.750
```

DOS at the Fermi energy (states/eV/atom): 0.900
M_tot (μB per cell): 6.43
Energy (eV/cell): -137.31